# 1
The following is a DFT calculation (PBE-GGA) of a relaxed structure of PuMnFe.

The total energy comes out at -127.3 eV/cell. The calculation puts the energy of formation at 46 meV per atom. The value obtained for the energy above the lowest structure with this stoichiometry is 0.090 eV/atom.

The space group is I4/mmm (No. 139) and the conventional cell measures 4.1015, 4.1015 and 11.0691 Å, with angles of 90.00, 90.00 and 90.00 degrees. The asymmetric unit holds Pu at (0.0000, 0.0000, 0.1659), Mn at (0.0000, 0.0000, 0.3655) and Fe at (0.0000, 0.5000, 0.0000).

***

# 2
The following is a DFT calculation (PBE-GGA) of a relaxed structure of PuMn3Fe2.

The total energy comes out at -56.4 eV/cell. The calculation puts the energy of formation at 394 meV per atom.

The space group is P6/mmm (No. 191) and the conventional cell measures 4.6794, 4.6794 and 4.1180 Å, with angles of 90.00, 90.00 and 120.00 degrees. The asymmetric unit holds Pu at (0.0000, 0.0000, 0.0000), Mn at (0.0000, 0.5000, 0.5000) and Fe at (0.3333, 0.6667, 0.0000).

***

# 3
The following is a DFT calculation (PBE-GGA) of a relaxed structure of Pu2MnFe.

The total energy comes out at -130.9 eV/cell. The calculation puts the energy of formation at 663 meV per atom.

The space group is R-3m (No. 166, hexagonal axes) and the conventional cell measures 2.6929, 2.6929 and 28.8831 Å, with angles of 90.00, 90.00 and 120.00 degrees. The asymmetric unit holds Pu at (0.0000, 0.0000, 0.0815), Mn at (0.0000, 0.0000, 0.5000) and Fe at (0.0000, 0.0000, 0.0000).

***

# 4
The following is a DFT calculation (PBE-GGA) of a relaxed structure of Pu4MnFe2.

The total energy comes out at -329.9 eV/cell. The calculation puts the energy of formation at 136 meV per atom.

The space group is I-42d (No. 122) and the conventional cell measures 8.2341, 8.2341 and 8.0917 Å, with angles of 90.00, 90.00 and 90.00 degrees. The asymmetric unit holds Pu at (0.0680, 0.6823, 0.4394), Mn at (0.0000, 0.0000, 0.5000) and Fe at (0.1294, 0.7500, 0.1250).

***

# 5
The following is a DFT calculation (PBE-GGA) of a relaxed structure of PuMnFe2.

The total energy comes out at -40.4 eV/cell. The calculation puts the energy of formation at 3 meV per atom.

The space group is P4/mmm (No. 123) and the conventional cell measures 3.8979, 3.8979 and 3.7960 Å, with angles of 90.00, 90.00 and 90.00 degrees. The asymmetric unit holds Pu at (0.0000, 0.0000, 0.0000), Mn at (0.5000, 0.5000, 0.0000) and Fe at (0.0000, 0.5000, 0.5000).

***

# 6
The following is a DFT calculation (PBE-GGA) of a relaxed structure of PuMnFeRu.

The total energy comes out at -163.1 eV/cell. The calculation puts the energy of formation at 118 meV per atom.

The space group is F-43m (No. 216) and the conventional cell measures 6.3521, 6.3521 and 6.3521 Å, with angles of 90.00, 90.00 and 90.00 degrees. The asymmetric unit holds Pu at (0.0000, 0.0000, 0.0000), Mn at (0.0000, 0.0000, 0.5000), Fe at (0.2500, 0.2500, 0.2500) and Ru at (0.2500, 0.2500, 0.7500).

***

# 7
The following is a DFT calculation (PBE-GGA) of a relaxed structure of PuScMnFe.

The total energy comes out at -153.5 eV/cell. The calculation puts the energy of formation at -17 meV per atom.

The space group is F-43m (No. 216) and the conventional cell measures 6.4759, 6.4759 and 6.4759 Å, with angles of 90.00, 90.00 and 90.00 degrees. The asymmetric unit holds Pu at (0.0000, 0.0000, 0.0000), Sc at (0.0000, 0.0000, 0.5000), Mn at (0.2500, 0.2500, 0.7500) and Fe at (0.2500, 0.2500, 0.2500).

***

# 8
The following is a DFT calculation (PBE-GGA) of a relaxed structure of Pu2MnFeSi2.

The total energy comes out at -238.1 eV/cell. The calculation puts the uncorrected formation energy at -0.40 eV per atom.

The space group is Ibam (No. 72) and the conventional cell measures 5.6951, 12.9594 and 5.6936 Å, with angles of 90.00, 90.00 and 90.00 degrees. The asymmetric unit holds Pu at (0.2455, 0.1611, 0.0000), Mn at (0.0000, 0.0000, 0.2500), Fe at (0.0000, 0.5000, 0.2500) and Si at (0.2428, 0.4014, 0.0000).